## Re2OsW (PBE-GGA)

Data for crystalline Re2OsW at its relaxed geometry.

abc: 9.222 2.778 4.805
angles: 90.00 99.74 90.00
Space group C2/m (No. 12)
Symmetry-distinct sites (fractional):
Re  0.244  0.000  0.240 [4 per cell]
Os  0.000  0.500  0.000 [2 per cell]
W  0.000  0.000  0.500 [2 per cell]

Summary:
- N(E_F) (states/eV/f.u.) = 2.71
- excess energy over the best structure of this formula in the dataset (meV per atom) = 18.2
- energy (eV/atom) = -12.1851
- energy of formation (eV per atom) = 0.085
- magnetic moment (μB/cell) = 0.00